# 1
Compound: CaMgCdSi
Source: Alexandria via LeMat-Bulk
Functional: PBE
Structure: relaxed

a = 7.100 Å, b = 7.100 Å, c = 7.100 Å
α = 90.00°, β = 90.00°, γ = 90.00°
Space group F-43m (No. 216)
One atom of each set of equivalent atoms:
Ca1 0.000 0.000 0.000
Mg1 0.000 0.000 0.500
Cd1 0.250 0.250 0.750
Si1 0.250 0.250 0.250

Values from the calculation:
* energy relative to the elements, uncorrected: -0.1787 eV per atom

# 2
Compound: BaSrHg14
Source: Alexandria via LeMat-Bulk
Functional: PBE
Structure: relaxed

a = 10.878 Å, b = 13.916 Å, c = 12.961 Å
α = 90.00°, β = 90.00°, γ = 90.00°
Space group Imma (No. 74)
One atom of each set of equivalent atoms:
Ba1 0.000 0.250 0.127
Sr1 0.250 0.250 0.750
Hg1 0.000 0.119 0.633
Hg2 0.000 0.127 0.373
Hg3 0.000 0.142 0.874
Hg4 0.157 0.034 0.169
Hg5 0.238 0.135 0.514

Values from the calculation:
* formation energy: -0.1948 eV per atom

# 3
Compound: Sc3SbC
Source: Alexandria via LeMat-Bulk
Functional: PBE
Structure: relaxed

a = 9.254 Å, b = 14.276 Å, c = 5.727 Å
α = 90.00°, β = 90.00°, γ = 90.00°
Space group Cmce (No. 64)
One atom of each set of equivalent atoms:
Sc1 0.000 0.047 0.249
Sc2 0.000 0.250 0.000
Sc3 0.250 0.105 0.750
Sb1 0.250 0.168 0.250
C1 0.000 0.110 0.751

Values from the calculation:
* energy relative to the elements, uncorrected: -0.5517 eV per atom

# 4
Compound: AcLa14Dy
Source: Alexandria via LeMat-Bulk
Functional: PBE
Structure: relaxed

a = 10.517 Å, b = 10.530 Å, c = 10.581 Å
α = 90.00°, β = 90.00°, γ = 90.00°
Space group Cmmm (No. 65)
One atom of each set of equivalent atoms:
Ac1 0.000 0.000 0.000
La1 0.000 0.000 0.500
La2 0.000 0.254 0.251
La3 0.000 0.500 0.500
La4 0.246 0.500 0.251
La5 0.250 0.250 0.000
La6 0.250 0.250 0.500
Dy1 0.000 0.500 0.000

Values from the calculation:
* formation energy: 0.0090 eV per atom

# 5
Compound: Ba2YHoS4
Source: Alexandria via LeMat-Bulk
Functional: PBE
Structure: relaxed

a = 7.110 Å, b = 4.118 Å, c = 7.521 Å
α = 90.00°, β = 108.48°, γ = 90.00°
Space group P2/m (No. 10)
One atom of each set of equivalent atoms:
Ba1 0.000 0.000 0.000
Ba2 0.500 0.500 0.000
Y1 0.000 0.500 0.500
Ho1 0.500 0.000 0.500
S1 0.238 0.000 0.709
S2 0.265 0.500 0.292

Values from the calculation:
* energy relative to the elements, uncorrected: -2.0075 eV per atom

# 6
Compound: CeNpFeOs
Source: Alexandria via LeMat-Bulk
Functional: PBE
Structure: relaxed

a = 6.525 Å, b = 6.525 Å, c = 6.525 Å
α = 90.00°, β = 90.00°, γ = 90.00°
Space group F-43m (No. 216)
One atom of each set of equivalent atoms:
Ce1 0.000 0.000 0.000
Np1 0.250 0.250 0.750
Fe1 0.250 0.250 0.250
Os1 0.000 0.000 0.500

Values from the calculation:
* formation energy: 0.1703 eV per atom

# 7
Compound: FeOs2Rh
Source: Alexandria via LeMat-Bulk
Functional: PBE
Structure: relaxed

a = 2.827 Å, b = 4.399 Å, c = 8.921 Å
α = 90.00°, β = 90.00°, γ = 90.00°
Space group Imm2 (No. 44)
One atom of each set of equivalent atoms:
Fe1 0.000 0.000 0.000
Os1 0.000 0.000 0.488
Os2 0.000 0.500 0.727
Rh1 0.000 0.500 0.270

Values from the calculation:
* formation energy: 0.3349 eV per atom
* ΔE to the lowest computed polymorph: 1.03 eV/f.u.

# 8
Compound: CrB
Source: Alexandria via LeMat-Bulk
Functional: PBE
Structure: relaxed

a = 2.918 Å, b = 2.918 Å, c = 15.666 Å
α = 90.00°, β = 90.00°, γ = 90.00°
Space group I4_1/amd (No. 141, origin choice 2)
One atom of each set of equivalent atoms:
Cr1 0.000 0.250 0.073
B1 0.000 0.250 0.218

Values from the calculation:
* formation energy: -0.5424 eV per atom

# 9
Compound: BaMgCl
Source: Alexandria via LeMat-Bulk
Functional: PBE
Structure: relaxed

a = 7.951 Å, b = 7.951 Å, c = 7.951 Å
α = 90.00°, β = 90.00°, γ = 90.00°
Space group F-43m (No. 216)
One atom of each set of equivalent atoms:
Ba1 0.000 0.000 0.000
Mg1 0.250 0.250 0.750
Cl1 0.250 0.250 0.250

Values from the calculation:
* energy relative to the elements, uncorrected: -0.5735 eV per atom
* ΔE to the lowest computed polymorph: 0.95 eV/f.u.

# 10
Compound: NaHIr
Source: Alexandria via LeMat-Bulk
Functional: PBE
Structure: relaxed

a = 2.888 Å, b = 10.532 Å, c = 20.705 Å
α = 90.00°, β = 90.00°, γ = 90.00°
Space group Fddd (No. 70, origin choice 2)
One atom of each set of equivalent atoms:
Na1 0.125 0.257 0.125
H1 0.125 0.125 0.549
Ir1 0.125 0.125 0.002

Values from the calculation:
* ΔE to the lowest computed polymorph: 0.62 eV/f.u.

# 11
Compound: TlCdW
Source: Alexandria via LeMat-Bulk
Functional: PBE
Structure: relaxed

a = 6.653 Å, b = 6.653 Å, c = 6.653 Å
α = 90.00°, β = 90.00°, γ = 90.00°
Space group F-43m (No. 216)
One atom of each set of equivalent atoms:
Tl1 0.000 0.000 0.000
Cd1 0.000 0.000 0.500
W1 0.250 0.250 0.250

Values from the calculation:
* formation energy: 1.3360 eV per atom
* ΔE to the lowest computed polymorph: 1.71 eV/f.u.

# 12
Compound: PrY12In3
Source: Alexandria via LeMat-Bulk
Functional: PBE
Structure: relaxed

a = 4.887 Å, b = 4.887 Å, c = 20.016 Å
α = 90.00°, β = 90.00°, γ = 90.00°
Space group P4/mmm (No. 123)
One atom of each set of equivalent atoms:
Pr1 0.000 0.000 0.000
Y1 0.000 0.500 0.134
Y2 0.000 0.500 0.378
Y3 0.500 0.500 0.000
Y4 0.500 0.500 0.258
Y5 0.500 0.500 0.500
In1 0.000 0.000 0.258
In2 0.000 0.000 0.500

Values from the calculation:
* formation energy: -0.1918 eV per atom

Let's list calculated volume in order: 357.9; 1962.1; 756.6; 1171.7; 208.8; 277.8; 110.9; 133.4; 502.6; 629.7; 294.5; 478.0 Å³ per cell.